No. 1
The following is a DFT calculation (PBE-GGA) of a relaxed KCoC3 crystal.

a b c (Å): 3.9391 3.9391 3.9391
angles (deg): 90.00 90.00 90.00
Last column: nearest neighbours and their distance in Å.
Fractional positions:
K  0.5000  0.5000  0.5000  12 C 2.79
C  0.5000  0.0000  0.0000  2 Co 1.97
C  0.0000  0.5000  0.0000  2 Co 1.97
C  0.0000  0.0000  0.5000  2 Co 1.97
Co  0.0000  0.0000  0.0000  6 C 1.97

Its energy above the most stable polymorph in this dataset is 0 meV per atom. The calculation puts the total energy at -0.187 Ha/atom. The value obtained for the total magnetization is 4.00 μB/f.u. Its formation energy is 2.097 eV/atom.

***

No. 2
The following is a DFT calculation (PBE-GGA) of a relaxed Ga2AsPt2 crystal.

a b c (Å): 7.6093 7.6093 2.8427
angles (deg): 90.00 90.00 90.00
Last column: nearest neighbours and their distance in Å.
Fractional positions:
As  0.5000  0.5000  0.0000  2 As 2.84, 4 Pt 2.90
As  0.0000  0.0000  0.0000  2 As 2.84, 4 Pt 2.90
Ga  0.6495  0.8505  0.5000  6 Pt 2.60-2.68, 2 Ga 2.84
Ga  0.1495  0.6495  0.5000  6 Pt 2.60-2.68, 2 Ga 2.84
Ga  0.8505  0.3505  0.5000  6 Pt 2.60-2.68, 2 Ga 2.84
Ga  0.3505  0.1495  0.5000  6 Pt 2.60-2.68, 2 Ga 2.84
Pt  0.8517  0.6483  0.0000  6 Ga 2.60-2.68, 2 Pt 2.84, 2 As 2.90
Pt  0.1483  0.3517  0.0000  6 Ga 2.60-2.68, 2 Pt 2.84, 2 As 2.90
Pt  0.3517  0.8517  0.0000  6 Ga 2.60-2.68, 2 Pt 2.84, 2 As 2.90
Pt  0.6483  0.1483  0.0000  6 Ga 2.60-2.68, 2 Pt 2.84, 2 As 2.90

Its energy above the most stable polymorph in this dataset is 0 meV per atom. The calculation puts the total energy at -0.182 Ha/atom. The value obtained for the total magnetization is 0.00 μB/f.u. Its formation energy is -0.407 eV/atom.

***

No. 3
The following is a DFT calculation (PBE-GGA) of a relaxed BaLi2Co crystal.

a b c (Å): 5.1711 5.1711 5.1711
angles (deg): 60.00 60.00 60.00
Last column: nearest neighbours and their distance in Å.
Fractional positions:
Li  0.2500  0.2500  0.2500  4 Ba 3.17, 4 Li 3.17
Li  0.0000  0.0000  0.0000  4 Li 3.17, 4 Co 3.17
Co  0.7500  0.7500  0.7500  4 Ba 3.17, 4 Li 3.17
Ba  0.5000  0.5000  0.5000  4 Li 3.17, 4 Co 3.17

Its energy above the most stable polymorph in this dataset is 168 meV per atom. The calculation puts the total energy at -0.099 Ha/atom. The value obtained for the total magnetization is 0.92 μB/f.u. Its formation energy is 0.523 eV/atom.